A geometry-optimized Cs3BAs structure. Source: the Alexandria database, functional PBE.

Calculated values
**Space group**: Pm-3m
**Crystal system**: cubic
**E**: -9.37 eV/cell
**ΔE_f**: 0.903 eV/atom
**Volume**: 68.36 Å³/atom

Cell lengths 6.992, 6.992, 6.992 Å; angles 90.00, 90.00, 90.00 degrees
Sites, in units of the cell vectors:
1 Cs 0.000 0.000 0.500
2 Cs 0.000 0.500 0.000
3 Cs 0.500 0.000 0.000
4 B 0.500 0.500 0.500
5 As 0.000 0.000 0.000